1.
DFT (PBE) results for an optimized crystal structure of ReIr6W5.

The space group is Immm (No. 71) and the conventional cell measures 3.919, 7.870 and 11.740 Å, with angles of 90.00, 90.00 and 90.00 degrees. The inequivalent atoms are Re at (0.000, 0.000, 0.000), Ir at (0.000, 0.249, 0.166), Ir at (0.000, 0.251, 0.500), W at (0.000, 0.000, 0.334), W at (0.000, 0.500, 0.000) and W at (0.000, 0.500, 0.336).

=====

2.
DFT (PBE) results for an optimized crystal structure of ReIr2W.

The space group is Pmmm (No. 47) and the conventional cell measures 2.750, 3.934 and 5.515 Å, with angles of 90.00, 90.00 and 90.00 degrees. The inequivalent atoms are Re at (0.000, 0.000, 0.000), Ir at (0.500, 0.500, 0.246) and W at (0.000, 0.000, 0.500).

Its energy above the most stable polymorph in this dataset is 105 meV/atom.

=====

3.
DFT (PBE) results for an optimized crystal structure of ReIrW4.

The space group is F-43m (No. 216) and the conventional cell measures 7.313, 7.313 and 7.313 Å, with angles of 90.00, 90.00 and 90.00 degrees. The inequivalent atoms are Re at (0.000, 0.000, 0.000), Ir at (0.250, 0.250, 0.250) and W at (0.126, 0.126, 0.626).

=====

4.
DFT (PBE) results for an optimized crystal structure of ReIrW.

The space group is P-6m2 (No. 187) and the conventional cell measures 4.4482, 4.4482 and 2.7077 Å, with angles of 90.00, 90.00 and 120.00 degrees. The inequivalent atoms are Re at (0.0000, 0.0000, 0.0000), Ir at (0.3333, 0.6667, 0.5000) and W at (0.6667, 0.3333, 0.0000).

Its energy above the most stable polymorph in this dataset is 297 meV/atom.

=====

5.
DFT (PBE) results for an optimized crystal structure of ReIr2W.

The space group is C2/m (No. 12) and the conventional cell measures 9.619, 5.499 and 4.806 Å, with angles of 90.00, 110.16 and 90.00 degrees. The inequivalent atoms are Re at (0.125, 0.000, 0.249), Ir at (0.125, 0.249, 0.751) and W at (0.130, 0.500, 0.260).

Its energy above the most stable polymorph in this dataset is 92 meV/atom.

=====

6.
DFT (PBE) results for an optimized crystal structure of Re4IrW.

The space group is F-43m (No. 216) and the conventional cell measures 7.238, 7.238 and 7.238 Å, with angles of 90.00, 90.00 and 90.00 degrees. The inequivalent atoms are Re at (0.124, 0.124, 0.376), Ir at (0.250, 0.250, 0.750) and W at (0.000, 0.000, 0.000).

=====

7.
DFT (PBE) results for an optimized crystal structure of ReIr2W.

The space group is P4mm (No. 99) and the conventional cell measures 2.760, 2.760 and 7.932 Å, with angles of 90.00, 90.00 and 90.00 degrees. The inequivalent atoms are Re at (0.000, 0.000, 0.000), Ir at (0.000, 0.000, 0.506), Ir at (0.500, 0.500, 0.770) and W at (0.500, 0.500, 0.270).

Its energy above the most stable polymorph in this dataset is 200 meV/atom.

=====

8.
DFT (PBE) results for an optimized crystal structure of ReIr2W.

The space group is Fm-3m (No. 225) and the conventional cell measures 6.272, 6.272 and 6.272 Å, with angles of 90.00, 90.00 and 90.00 degrees. The inequivalent atoms are Re at (0.000, 0.000, 0.000), Ir at (0.250, 0.250, 0.250) and W at (0.000, 0.000, 0.500).

Its energy above the most stable polymorph in this dataset is 804 meV/atom.

=====

9.
DFT (PBE) results for an optimized crystal structure of ReIr2W.

The space group is I-42d (No. 122) and the conventional cell measures 3.818, 3.818 and 18.068 Å, with angles of 90.00, 90.00 and 90.00 degrees. The inequivalent atoms are Re at (0.000, 0.000, 0.000), Ir at (0.246, 0.250, 0.125) and W at (0.000, 0.000, 0.500).

Its energy above the most stable polymorph in this dataset is 883 meV/atom.

=====

10.
DFT (PBE) results for an optimized crystal structure of ReIr2W.

The space group is Pmm2 (No. 25) and the conventional cell measures 2.761, 4.436 and 4.853 Å, with angles of 90.00, 90.00 and 90.00 degrees. The inequivalent atoms are Re at (0.000, 0.000, 0.000), Ir at (0.500, 0.000, 0.498), Ir at (0.500, 0.500, 0.158) and W at (0.000, 0.500, 0.666).

Its energy above the most stable polymorph in this dataset is 0 meV/atom.

=====

11.
DFT (PBE) results for an optimized crystal structure of ReIr2W.

The space group is I4/mmm (No. 139) and the conventional cell measures 3.887, 3.887 and 7.895 Å, with angles of 90.00, 90.00 and 90.00 degrees. The inequivalent atoms are Re at (0.000, 0.000, 0.000), Ir at (0.000, 0.500, 0.250) and W at (0.000, 0.000, 0.500).

Its energy above the most stable polymorph in this dataset is 88 meV/atom.

=====

12.
DFT (PBE) results for an optimized crystal structure of ReIrW.

The space group is P6_3/mmc (No. 194) and the conventional cell measures 4.4028, 4.4028 and 5.4867 Å, with angles of 90.00, 90.00 and 120.00 degrees. The inequivalent atoms are Re at (0.0000, 0.0000, 0.0000), Ir at (0.3333, 0.6667, 0.2500) and W at (0.3333, 0.6667, 0.7500).

Its energy above the most stable polymorph in this dataset is 93 meV/atom.

=====

13.
DFT (PBE) results for an optimized crystal structure of ReIr2W.

The space group is C2/m (No. 12) and the conventional cell measures 9.238, 2.767 and 4.762 Å, with angles of 90.00, 100.09 and 90.00 degrees. The inequivalent atoms are Re at (0.000, 0.000, 0.000), Ir at (0.249, 0.500, 0.247) and W at (0.000, 0.500, 0.500).

Its energy above the most stable polymorph in this dataset is 230 meV/atom.

=====

14.
DFT (PBE) results for an optimized crystal structure of ReIr2W.

The space group is Cmmm (No. 65) and the conventional cell measures 5.501, 7.872 and 2.753 Å, with angles of 90.00, 90.00 and 90.00 degrees. The inequivalent atoms are Re at (0.000, 0.000, 0.000), Ir at (0.250, 0.250, 0.500) and W at (0.000, 0.500, 0.000).

Its energy above the most stable polymorph in this dataset is 91 meV/atom.

=====

no.,DFT formation energy (eV/atom),final energy (eV per atom)
1,-0.274,-11.14
2,-0.216,-11.00
3,0.401,-11.79
4,0.130,-11.29
5,-0.229,-11.01
6,0.312,-11.62
7,-0.122,-10.90
8,0.482,-10.30
9,0.561,-10.22
10,-0.322,-11.10
11,-0.234,-11.01
12,-0.074,-11.49
13,-0.092,-10.87
14,-0.230,-11.01